Here is a relaxed structure of Ag3PtAu5 from Alexandria. Energies are from PBE.

- Fermi-level density of states (states/eV per cell) = 7.4
- formation energy from the elements (meV per atom) = 278

Cell lengths 7.990, 7.990, 7.945 Å; angles 120.19, 120.19, 90.00 degrees
Fractional coordinates of all 18 atoms:
Au 0.435 0.334 0.270
Au 0.000 0.000 0.000
Au 0.935 0.435 0.270
Au 0.834 0.935 0.270
Au 0.666 0.166 0.730
Au 0.500 0.500 0.000
Au 0.065 0.565 0.730
Au 0.334 0.834 0.270
Au 0.166 0.065 0.730
Au 0.565 0.666 0.730
Ag 0.388 0.888 0.000
Ag 0.888 0.612 0.000
Ag 0.112 0.388 0.000
Ag 0.750 0.750 0.500
Ag 0.612 0.112 0.000
Ag 0.250 0.250 0.500
Pt 0.750 0.250 0.500
Pt 0.250 0.750 0.500

Here is a relaxed structure of CuIrC2 from Alexandria. Energies are from PBE.

- energy relative to the lowest polymorph listed for this composition (eV per atom) = 0.7473
- Fermi-level density of states (states/eV per cell) = 4.0
- formation energy from the elements (meV per atom) = 1717

Cell lengths 3.780, 3.780, 3.780 Å; angles 60.00, 60.00, 60.00 degrees
Fractional coordinates of all 4 atoms:
C 0.750 0.750 0.750
C 0.250 0.250 0.250
Ir 0.500 0.500 0.500
Cu 0.000 0.000 0.000

Here is a relaxed structure of HgPdPt from Alexandria. Energies are from PBE.

- energy relative to the lowest polymorph listed for this composition (eV per atom) = 0.0000
- Fermi-level density of states (states/eV per cell) = 11.5
- formation energy from the elements (meV per atom) = -17

Cell lengths 5.608, 5.587, 7.844 Å; angles 90.00, 60.18, 90.00 degrees
Fractional coordinates of all 12 atoms:
Pt 0.750 0.251 0.000
Pt 0.250 0.749 0.000
Pt 0.750 0.751 0.000
Pt 0.250 0.249 0.000
Hg 0.773 0.001 0.318
Hg 0.273 0.499 0.318
Hg 0.727 0.501 0.682
Hg 0.227 0.999 0.682
Pd 0.776 0.501 0.309
Pd 0.724 0.001 0.691
Pd 0.224 0.499 0.691
Pd 0.276 0.999 0.309